[1]
A plane-wave DFT calculation with PBE-GGA was carried out for PmGdHgPd after structural relaxation.

Cell: 7.359 7.359 7.359 Å, 90.00 90.00 90.00°
Atoms (fractional coordinates):
Pm 0.000 0.000 0.000
Pm 0.000 0.500 0.500
Pm 0.500 0.000 0.500
Pm 0.500 0.500 0.000
Gd 0.000 0.000 0.500
Gd 0.000 0.500 0.000
Gd 0.500 0.000 0.000
Gd 0.500 0.500 0.500
Hg 0.250 0.250 0.250
Hg 0.250 0.750 0.750
Hg 0.750 0.250 0.750
Hg 0.750 0.750 0.250
Pd 0.250 0.250 0.750
Pd 0.250 0.750 0.250
Pd 0.750 0.250 0.250
Pd 0.750 0.750 0.750

The crystal system is cubic. The value obtained for the formation energy is -0.60 eV per atom.

=====

[2]
A plane-wave DFT calculation with PBE-GGA was carried out for Ti2IrOs2 after structural relaxation.

Cell: 7.407 7.407 5.274 Å, 104.20 104.20 32.84°
Atoms (fractional coordinates):
Ti 0.000 0.000 0.000
Ti 0.224 0.224 0.581
Ti 0.607 0.607 0.333
Ti 0.835 0.835 0.372
Ir 0.027 0.027 0.506
Ir 0.807 0.807 0.834
Os 0.211 0.211 0.079
Os 0.398 0.398 0.194
Os 0.434 0.434 0.716
Os 0.620 0.620 0.864

The value obtained for the energy above the most stable polymorph in this dataset is 119 meV per atom. The crystal system is monoclinic. The value obtained for the formation energy is -0.45 eV per atom.

=====

- What is the formula in the second record?
  Ti2IrOs2

=====

- Number 1 is which compound?
  PmGdHgPd